(1)
# PBE LaErNi4, optimized geometry
# E_tot (eV per atom): -5.68
# E_form (eV per atom): -0.39
# Energy above the most stable polymorph in this dataset (kJ per mole of atoms): 0.00
data_LaErNi4
_symmetry_space_group_name_H-M 'P 1'
_symmetry_Int_Tables_number 1
_cell_length_a 5.091
_cell_length_b 5.091
_cell_length_c 5.091
_cell_angle_alpha 60.00
_cell_angle_beta 60.00
_cell_angle_gamma 60.00
loop_
_symmetry_equiv_pos_as_xyz
'x,y,z'
loop_
_atom_site_label
_atom_site_type_symbol
_atom_site_fract_x
_atom_site_fract_y
_atom_site_fract_z
Ni1 Ni 0.126 0.126 0.126
Ni2 Ni 0.126 0.622 0.126
Ni3 Ni 0.126 0.126 0.622
Ni4 Ni 0.622 0.126 0.126
Er1 Er 0.500 0.500 0.500
La1 La 0.750 0.750 0.750

---

(2)
# PBE LaErNi4, optimized geometry
# E_tot (eV per atom): -5.37
# E_form (eV per atom): -0.08
# Energy above the most stable polymorph in this dataset (kJ per mole of atoms): 30.52
data_LaErNi4
_symmetry_space_group_name_H-M 'P 1'
_symmetry_Int_Tables_number 1
_cell_length_a 5.443
_cell_length_b 5.443
_cell_length_c 8.020
_cell_angle_alpha 90.00
_cell_angle_beta 90.00
_cell_angle_gamma 120.00
loop_
_symmetry_equiv_pos_as_xyz
'x,y,z'
loop_
_atom_site_label
_atom_site_type_symbol
_atom_site_fract_x
_atom_site_fract_y
_atom_site_fract_z
Ni1 Ni 0.500 0.500 0.229
Ni2 Ni 0.000 0.500 0.229
Ni3 Ni 0.500 0.000 0.229
Ni4 Ni 0.333 0.667 0.000
Ni5 Ni 0.500 0.000 0.771
Ni6 Ni 0.500 0.500 0.771
Ni7 Ni 0.000 0.500 0.771
Ni8 Ni 0.667 0.333 0.000
La1 La 0.000 0.000 0.000
La2 La 0.000 0.000 0.500
Er1 Er 0.333 0.667 0.500
Er2 Er 0.667 0.333 0.500

---

(3)
# PBE LaEr2Ni9, optimized geometry
# E_tot (eV per atom): -5.76
# E_form (eV per atom): -0.41
data_LaEr2Ni9
_symmetry_space_group_name_H-M 'P 1'
_symmetry_Int_Tables_number 1
_cell_length_a 8.615
_cell_length_b 8.615
_cell_length_c 8.615
_cell_angle_alpha 33.68
_cell_angle_beta 33.68
_cell_angle_gamma 33.68
loop_
_symmetry_equiv_pos_as_xyz
'x,y,z'
loop_
_atom_site_label
_atom_site_type_symbol
_atom_site_fract_x
_atom_site_fract_y
_atom_site_fract_z
La1 La 0.000 0.000 0.000
Ni1 Ni 0.415 0.918 0.415
Ni2 Ni 0.918 0.415 0.415
Ni3 Ni 0.667 0.667 0.667
Ni4 Ni 0.500 0.500 0.500
Ni5 Ni 0.585 0.082 0.585
Ni6 Ni 0.082 0.585 0.585
Ni7 Ni 0.585 0.585 0.082
Ni8 Ni 0.333 0.333 0.333
Ni9 Ni 0.415 0.415 0.918
Er1 Er 0.140 0.140 0.140
Er2 Er 0.860 0.860 0.860

---

(4)
# PBE La2ErNi9, optimized geometry
# E_tot (eV per atom): -5.73
# E_form (eV per atom): -0.36
data_La2ErNi9
_symmetry_space_group_name_H-M 'P 1'
_symmetry_Int_Tables_number 1
_cell_length_a 8.773
_cell_length_b 8.773
_cell_length_c 8.773
_cell_angle_alpha 32.86
_cell_angle_beta 32.86
_cell_angle_gamma 32.86
loop_
_symmetry_equiv_pos_as_xyz
'x,y,z'
loop_
_atom_site_label
_atom_site_type_symbol
_atom_site_fract_x
_atom_site_fract_y
_atom_site_fract_z
Ni1 Ni 0.333 0.333 0.333
Ni2 Ni 0.579 0.081 0.579
Ni3 Ni 0.081 0.579 0.579
Ni4 Ni 0.667 0.667 0.667
Ni5 Ni 0.919 0.421 0.421
Ni6 Ni 0.421 0.919 0.421
Ni7 Ni 0.421 0.421 0.919
Ni8 Ni 0.579 0.579 0.081
Ni9 Ni 0.500 0.500 0.500
La1 La 0.862 0.862 0.862
La2 La 0.138 0.138 0.138
Er1 Er 0.000 0.000 0.000

---

(5)
# PBE LaErSi4Ni2, optimized geometry
# E_tot (eV per atom): -6.10
data_LaErSi4Ni2
_symmetry_space_group_name_H-M 'P 1'
_symmetry_Int_Tables_number 1
_cell_length_a 4.037
_cell_length_b 8.481
_cell_length_c 8.481
_cell_angle_alpha 27.97
_cell_angle_beta 90.00
_cell_angle_gamma 90.00
loop_
_symmetry_equiv_pos_as_xyz
'x,y,z'
loop_
_atom_site_label
_atom_site_type_symbol
_atom_site_fract_x
_atom_site_fract_y
_atom_site_fract_z
Si1 Si 0.500 0.752 0.752
Si2 Si 0.500 0.038 0.038
Si3 Si 0.000 0.253 0.253
Si4 Si 0.000 0.957 0.957
Ni1 Ni 0.000 0.821 0.821
Ni2 Ni 0.500 0.181 0.181
La1 La 0.000 0.605 0.605
Er1 Er 0.500 0.393 0.393

---

(6)
# PBE LaErTlNi2, optimized geometry
# E_tot (eV per atom): -5.04
data_LaErTlNi2
_symmetry_space_group_name_H-M 'P 1'
_symmetry_Int_Tables_number 1
_cell_length_a 3.733
_cell_length_b 7.637
_cell_length_c 7.637
_cell_angle_alpha 30.18
_cell_angle_beta 90.00
_cell_angle_gamma 90.00
loop_
_symmetry_equiv_pos_as_xyz
'x,y,z'
loop_
_atom_site_label
_atom_site_type_symbol
_atom_site_fract_x
_atom_site_fract_y
_atom_site_fract_z
Er1 Er 0.500 0.640 0.640
La1 La 0.500 0.361 0.361
Ni1 Ni 0.000 0.795 0.795
Ni2 Ni 0.000 0.197 0.197
Tl1 Tl 0.000 0.007 0.007

---

(7)
# PBE LaErNp, optimized geometry
# E_tot (eV per atom): -6.36
# E_form (eV per atom): 1.05
# Energy above the most stable polymorph in this dataset (kJ per mole of atoms): 0.00
data_LaErNp
_symmetry_space_group_name_H-M 'P 1'
_symmetry_Int_Tables_number 1
_cell_length_a 5.135
_cell_length_b 5.135
_cell_length_c 5.135
_cell_angle_alpha 60.00
_cell_angle_beta 60.00
_cell_angle_gamma 60.00
loop_
_symmetry_equiv_pos_as_xyz
'x,y,z'
loop_
_atom_site_label
_atom_site_type_symbol
_atom_site_fract_x
_atom_site_fract_y
_atom_site_fract_z
Er1 Er 0.250 0.250 0.250
Np1 Np 0.750 0.750 0.750
La1 La 0.000 0.000 0.000

---

(8)
# PBE La2Er2O5, optimized geometry
# E_tot (eV per atom): -7.05
# Energy above the most stable polymorph in this dataset (kJ per mole of atoms): 71.27
data_La2Er2O5
_symmetry_space_group_name_H-M 'P 1'
_symmetry_Int_Tables_number 1
_cell_length_a 7.811
_cell_length_b 4.397
_cell_length_c 4.397
_cell_angle_alpha 90.00
_cell_angle_beta 90.00
_cell_angle_gamma 90.00
loop_
_symmetry_equiv_pos_as_xyz
'x,y,z'
loop_
_atom_site_label
_atom_site_type_symbol
_atom_site_fract_x
_atom_site_fract_y
_atom_site_fract_z
O1 O 0.293 0.500 0.000
O2 O 0.293 0.000 0.500
O3 O 0.500 0.500 0.500
O4 O 0.707 0.500 0.000
O5 O 0.707 0.000 0.500
Er1 Er 0.500 0.000 0.000
Er2 Er 0.000 0.000 0.000
La1 La 0.777 0.500 0.500
La2 La 0.223 0.500 0.500